# 1
GGA-PBE ZrSeN2O, relaxed; ρ = 3.8 g/cm³; calculated total energy = -5.701 eV per atom; E_form (uncorrected) = 99 kJ per mole of atoms; space-group type = P4/mmm, No. 123; total magnetic moment = 2.25 μB per cell
1.0
4.095 0.000 0.000
0.000 4.095 0.000
0.000 0.000 5.656
N Se Zr O
2 1 1 1
Direct
0.000 0.500 0.000
0.500 0.000 0.000
0.000 0.000 0.500
0.000 0.000 0.000
0.500 0.500 0.500

***

# 2
GGA-PBE SiN3O, relaxed; ρ = 3.5 g/cm³; calculated total energy = -4.509 eV per atom; E_form (uncorrected) = 247 kJ per mole of atoms; space-group type = Pm-3m, No. 221; total magnetic moment = 0.00 μB per cell
1.0
-0.055 -2.783 -2.017
3.232 -0.728 0.916
-1.169 -1.882 2.629
N Si O
3 1 1
Direct
0.000 0.500 0.000
0.000 0.000 0.500
0.500 0.000 0.000
0.500 0.500 0.500
0.000 0.000 0.000

***

# 3
GGA-PBE SiNO, relaxed; ρ = 3.3 g/cm³; calculated total energy = -7.240 eV per atom; E_form (uncorrected) = -97 kJ per mole of atoms; space-group type = P-6m2, No. 187; energy relative to the lowest polymorph listed for this composition = 0.0 meV per atom; total magnetic moment = 0.75 μB per cell
1.0
3.139 0.000 0.000
-1.569 2.718 0.000
0.000 0.000 3.411
N Si O
1 1 1
Direct
0.000 0.000 0.500
0.333 0.667 0.500
0.333 0.667 0.000

***

# 4
GGA-PBE Si2N2O, relaxed; ρ = 2.6 g/cm³; calculated total energy = -7.662 eV per atom; E_form (uncorrected) = -113 kJ per mole of atoms; space-group type = I4_1md, No. 109; total magnetic moment = 0.00 μB per cell
1.0
-2.393 -2.085 4.377
4.779 -1.838 1.737
-0.534 5.699 -0.916
O Si N
2 4 4
Direct
0.088 0.088 0.175
0.338 0.838 0.675
0.426 0.203 0.851
0.426 0.648 0.851
0.453 0.176 0.351
0.898 0.176 0.351
0.621 0.349 0.242
0.599 0.371 0.742
0.621 0.892 0.242
0.142 0.371 0.742

***

# 5
GGA-PBE Si3NO, relaxed; ρ = 2.7 g/cm³; calculated total energy = -4.846 eV per atom; E_form (uncorrected) = 103 kJ per mole of atoms; space-group type = Pm-3m, No. 221; energy relative to the lowest polymorph listed for this composition = 0.0 meV per atom; total magnetic moment = 0.20 μB per cell
1.0
-2.033 3.154 1.666
-3.494 -2.147 -0.197
0.720 -1.516 3.747
N Si O
1 3 1
Direct
0.000 0.000 0.000
0.500 0.000 0.000
0.000 0.500 0.000
0.000 0.000 0.500
0.500 0.500 0.500

***

# 6
GGA-PBE Si2N2O, relaxed; ρ = 2.7 g/cm³; calculated total energy = -8.131 eV per atom; E_form (uncorrected) = -158 kJ per mole of atoms; space-group type = Cmc2_1, No. 36; total magnetic moment = 0.00 μB per cell
1.0
-4.777 1.062 -0.060
-0.269 -1.497 -5.047
-0.876 -3.737 3.613
O N Si
2 4 4
Direct
0.763 0.709 0.709
0.263 0.291 0.291
0.657 0.596 0.157
0.657 0.157 0.596
0.157 0.843 0.404
0.157 0.404 0.843
0.813 0.473 0.828
0.813 0.828 0.473
0.313 0.172 0.527
0.313 0.527 0.172

***

# 7
GGA-PBE SiN3O, relaxed; ρ = 3.2 g/cm³; calculated total energy = -5.432 eV per atom; E_form (uncorrected) = 158 kJ per mole of atoms; space-group type = Pm-3m, No. 221; total magnetic moment = 3.46 μB per cell
1.0
-1.681 0.277 -3.129
3.099 -0.435 -1.703
-0.514 -3.525 -0.036
O Si N
1 1 3
Direct
0.500 0.500 0.500
0.000 0.000 0.000
0.000 0.500 0.000
0.000 0.000 0.500
0.500 0.000 0.000

***

# 8
GGA-PBE SiN2O2, relaxed; ρ = 3.4 g/cm³; calculated total energy = -4.379 eV per atom; E_form (uncorrected) = 195 kJ per mole of atoms; space-group type = P4/mmm, No. 123; energy relative to the lowest polymorph listed for this composition = 1334.3 meV per atom; total magnetic moment = 0.00 μB per cell
1.0
3.533 0.000 0.000
0.000 3.533 0.000
0.000 0.000 3.477
O N Si
2 2 1
Direct
0.000 0.000 0.000
0.000 0.000 0.500
0.500 0.000 0.000
0.000 0.500 0.000
0.500 0.500 0.500

***

# 9
GGA-PBE SiNO, relaxed; ρ = 2.9 g/cm³; calculated total energy = -7.191 eV per atom; E_form (uncorrected) = -92 kJ per mole of atoms; space-group type = Pnma, No. 62; energy relative to the lowest polymorph listed for this composition = 48.6 meV per atom; total magnetic moment = 0.00 μB per cell
1.0
-0.870 0.876 2.406
-4.606 0.306 -1.776
-1.719 -9.467 2.826
O N Si
4 4 4
Direct
0.250 0.927 0.093
0.750 0.073 0.907
0.250 0.427 0.407
0.750 0.573 0.593
0.750 0.427 0.085
0.250 0.073 0.585
0.750 0.927 0.415
0.250 0.573 0.915
0.250 0.238 0.995
0.750 0.762 0.005
0.750 0.262 0.495
0.250 0.738 0.505

***

# 10
GGA-PBE SiN2O2, relaxed; ρ = 3.1 g/cm³; calculated total energy = -5.509 eV per atom; E_form (uncorrected) = 86 kJ per mole of atoms; space-group type = P4/mmm, No. 123; energy relative to the lowest polymorph listed for this composition = 204.4 meV per atom; total magnetic moment = 1.66 μB per cell
1.0
3.751 0.000 0.000
0.000 3.751 0.000
0.000 0.000 3.316
Si O N
1 2 2
Direct
0.000 0.000 0.000
0.000 0.000 0.500
0.500 0.500 0.500
0.500 0.000 0.000
0.000 0.500 0.000

***

# 11
GGA-PBE SiNO, relaxed; ρ = 3.0 g/cm³; calculated total energy = -7.095 eV per atom; E_form (uncorrected) = -83 kJ per mole of atoms; space-group type = Cm, No. 8; energy relative to the lowest polymorph listed for this composition = 144.9 meV per atom; total magnetic moment = 0.99 μB per cell
1.0
2.819 0.008 -0.016
1.403 2.446 0.004
0.089 1.565 4.755
Si N O
1 1 1
Direct
0.541 0.943 0.659
0.157 0.717 0.493
0.938 0.140 0.868

***

# 12
GGA-PBE Si2N2O, relaxed; ρ = 4.1 g/cm³; calculated total energy = -7.759 eV per atom; E_form (uncorrected) = -122 kJ per mole of atoms; space-group type = C2/c, No. 15; total magnetic moment = 0.00 μB per cell
1.0
2.338 4.085 0.000
-2.338 4.085 0.000
0.000 0.021 12.796
Si N O
12 12 6
Direct
0.332 0.313 0.814
0.315 0.328 0.020
0.687 0.668 0.686
0.328 0.315 0.520
0.999 0.004 0.353
0.996 0.001 0.147
0.004 0.999 0.853
0.672 0.685 0.480
0.685 0.672 0.980
0.001 0.996 0.647
0.668 0.687 0.186
0.313 0.332 0.314
0.371 0.953 0.585
0.047 0.629 0.915
0.341 0.020 0.917
0.006 0.291 0.748
0.659 0.980 0.083
0.629 0.047 0.415
0.020 0.341 0.417
0.980 0.659 0.583
0.953 0.371 0.085
0.291 0.006 0.248
0.994 0.709 0.252
0.709 0.994 0.752
0.345 0.667 0.082
0.332 0.668 0.750
0.655 0.333 0.918
0.333 0.655 0.418
0.668 0.332 0.250
0.667 0.345 0.582